Record 1
The following is a GGA-PBE calculation of a relaxed structure of YHoIr, from the Open Quantum Materials Database.

The structure in extended XYZ format:
```
3
Lattice="0.721 -3.607 -2.922 -3.255 -1.120 -3.196 0.812 0.795 -4.558" Properties=species:S:1:pos:R:3 pbc="T T T"
Y -1.291 -2.949 -8.007
Ho 0.000 0.000 0.000
Ir -0.430 -0.983 -2.669
```

Values from the calculation:
SG: F-43m, No. 216
M_tot: 0.007 μB per formula unit
total energy: -19.4 eV for the cell shown



Record 2
The following is a GGA-PBE calculation of a relaxed structure of AlAgAsH6, from the Open Quantum Materials Database.

The structure in extended XYZ format:
```
9
Lattice="1.424 3.319 3.098 -2.243 0.482 4.168 2.172 -1.286 4.033" Properties=species:S:1:pos:R:3 pbc="T T T"
H -0.021 -0.363 4.053
H -0.382 1.853 3.602
As 0.000 0.000 0.000
H 0.698 1.621 1.597
H 1.058 -0.595 2.047
Al 1.015 1.887 8.474
H -1.067 0.256 2.112
Ag 0.676 1.258 5.649
H 1.743 1.002 3.538
```

Values from the calculation:
SG: F-43m, No. 216
total energy: -25.7 eV for the cell shown



Record 3
The following is a GGA-PBE calculation of a relaxed structure of NaLaHgS3, from the Open Quantum Materials Database.

The structure in extended XYZ format:
```
12
Lattice="8.851 -2.079 0.000 8.851 2.079 0.000 -2.484 0.000 8.329" Properties=species:S:1:pos:R:3 pbc="T T T"
S -1.242 0.000 4.164
Hg 7.337 0.000 6.004
S 5.397 0.000 1.394
S 4.405 0.000 5.231
Na 13.194 0.000 7.710
S 10.814 0.000 3.098
La 1.583 0.000 5.079
Hg 7.882 0.000 2.325
Na 2.025 0.000 0.619
La 13.636 0.000 3.250
S 9.823 0.000 6.935
S 8.851 0.000 0.000
```

Values from the calculation:
SG: C2/m, No. 12
M_tot: 0.002 μB per formula unit
total energy: -51.6 eV for the cell shown



Record 4
The following is a GGA-PBE calculation of a relaxed structure of Gd2TmSn3Pd3, from the Open Quantum Materials Database.

The structure in extended XYZ format:
```
9
Lattice="-2.854 -2.607 -0.874 4.916 -5.688 0.912 -4.049 2.450 5.912" Properties=species:S:1:pos:R:3 pbc="T T T"
Gd 2.509 -4.231 4.424
Pd -2.463 -1.585 3.785
Pd 0.474 -4.251 2.147
Gd -1.128 -0.929 6.452
Pd 0.003 -0.010 0.021
Sn -0.785 -3.701 4.615
Sn -2.477 -0.671 1.103
Sn -0.151 -2.782 -0.194
Tm 0.351 -1.310 2.760
```

Values from the calculation:
SG: Amm2, No. 38
M_tot: 0.005 μB per formula unit
total energy: -49.7 eV for the cell shown



Record 5
The following is a GGA-PBE calculation of a relaxed structure of DyHo3Pb2N2, from the Open Quantum Materials Database.

The structure in extended XYZ format:
```
8
Lattice="3.533 0.000 0.000 -1.767 3.060 0.000 0.000 0.000 15.546" Properties=species:S:1:pos:R:3 pbc="T T T"
Dy 0.000 0.000 14.247
N 0.000 2.040 0.015
Ho 0.000 0.000 9.063
Pb 1.767 1.020 11.651
Pb 0.000 0.000 3.888
Ho 1.767 1.020 1.294
N 0.000 2.040 7.772
Ho 1.767 1.020 6.481
```

Values from the calculation:
SG: P3m1, No. 156
M_tot: 0.003 μB per formula unit
total energy: -51.2 eV for the cell shown



Record 6
The following is a GGA-PBE calculation of a relaxed structure of Y2Ge2Pt, from the Open Quantum Materials Database.

The structure in extended XYZ format:
```
10
Lattice="-5.717 -3.476 0.934 -0.146 -1.527 -6.579 2.392 -3.717 0.810" Properties=species:S:1:pos:R:3 pbc="T T T"
Ge -2.198 -2.577 -5.335
Y -3.581 -5.234 -0.976
Pt 0.000 0.000 0.000
Ge -0.839 -1.032 -2.256
Y -2.771 -5.460 -4.409
Y -0.700 -3.260 -0.426
Ge -5.024 -3.971 -3.388
Pt -2.932 -2.501 -2.822
Ge -3.665 -2.426 -0.309
Y 0.110 -3.486 -3.859
```

Values from the calculation:
SG: P4/mbm, No. 127
M_tot: 0.000 μB per formula unit
total energy: -66.2 eV for the cell shown



What is the formula in the third record? NaLaHgS3